The following is a PBE-GGA calculation of YTl2Ru after structural relaxation, from Alexandria.

abc: 5.051 5.051 5.051
angles: 60.00 60.00 60.00
Sites, in units of the cell vectors:
Ru 0.500 0.500 0.500
Tl 0.000 0.000 0.000
Tl 0.250 0.250 0.250
Y 0.750 0.750 0.750

Computed properties:
Uncorrected energy in eV per atom: -4.905
Total magnetic moment in μB per cell: 0.00
Energy above the most stable polymorph in this dataset in eV/atom: 0.204
DOS(E_F) in states/eV per atom: 1.35



The following is a PBE-GGA calculation of Ca2TcSb after structural relaxation, from Alexandria.

abc: 9.734 9.734 9.734
angles: 22.11 22.11 22.11
Sites, in units of the cell vectors:
Sb 0.483 0.483 0.483
Ca 0.020 0.020 0.020
Ca 0.232 0.232 0.232
Tc 0.764 0.764 0.764

Computed properties:
Uncorrected energy in eV per atom: -4.495
Total magnetic moment in μB per cell: 0.00
Formation energy without anion corrections in eV/atom: 0.13
DOS(E_F) in states/eV per atom: 0.86



The following is a PBE-GGA calculation of LaSiRu2 after structural relaxation, from Alexandria.

abc: 3.105 3.105 7.062
angles: 90.00 90.00 90.36
Sites, in units of the cell vectors:
La 0.500 0.500 0.750
Ru 0.000 0.000 0.060
Ru 0.000 0.000 0.440
Si 0.500 0.500 0.250

Computed properties:
Uncorrected energy in eV per atom: -7.441
Total magnetic moment in μB per cell: 0.00
Formation energy without anion corrections in eV/atom: -0.22
DOS(E_F) in states/eV per atom: 1.45



What is the DOS(E_F) in the second record?
0.86 states/eV per atom



What did the first record say?
The following is a PBE-GGA calculation of YTl2Ru after structural relaxation, from Alexandria.

abc: 5.051 5.051 5.051
angles: 60.00 60.00 60.00
Sites, in units of the cell vectors:
Ru 0.500 0.500 0.500
Tl 0.000 0.000 0.000
Tl 0.250 0.250 0.250
Y 0.750 0.750 0.750

Computed properties:
Uncorrected energy in eV per atom: -4.905
Total magnetic moment in μB per cell: 0.00
Energy above the most stable polymorph in this dataset in eV/atom: 0.204
DOS(E_F) in states/eV per atom: 1.35



What is the total magnetic moment in the first record?
0.00 μB per cell